Cs2TmVS4: relaxed, PBE.

a b c (Å): 14.7482 13.1893 7.9602
angles (deg): 84.59 62.91 32.50
Closest atoms and distances in Å follow each position.
Fractional coordinates of all 16 atoms:
Cs: 0.0537 0.0537 0.6963  8 S 3.79-4.08
Cs: 0.3037 0.3037 0.9463  8 S 3.79-4.08
Cs: 0.6963 0.6963 0.0537  8 S 3.79-4.08
Cs: 0.9463 0.9463 0.3037  8 S 3.79-4.08
Tm: 0.1250 0.1250 0.1250  4 S 2.55
Tm: 0.8750 0.8750 0.8750  4 S 2.55
V: 0.3750 0.3750 0.3750  4 S 2.31
V: 0.6250 0.6250 0.6250  4 S 2.31
S: 0.0119 0.6418 0.5498  1 V 2.31, 1 Tm 2.55
S: 0.2964 0.5498 0.6418  1 V 2.31, 1 Tm 2.55
S: 0.3582 0.9881 0.7036  1 V 2.31, 1 Tm 2.55
S: 0.4502 0.7036 0.9881  1 V 2.31, 1 Tm 2.55
S: 0.5498 0.2964 0.0119  1 V 2.31, 1 Tm 2.55
S: 0.6418 0.0119 0.2964  1 V 2.31, 1 Tm 2.55
S: 0.7036 0.4502 0.3582  1 V 2.31, 1 Tm 2.55
S: 0.9881 0.3582 0.4502  1 V 2.31, 1 Tm 2.55

Results
- Raw formation energy: -985.3 kJ/mol of formula units
- V: 36.84 Å³/atom
- Crystal system: orthorhombic
- Magnetization: 2.0 μB per formula unit
- SG: Fddd, No. 70